# AlBi2Pb, optimized geometry, DFT PBEsol
# E_form: 239 meV per atom
# Crystal system: tetragonal
data_AlBi2Pb
_chemical_formula_sum 'Al4 Bi8 Pb4'
_cell_length_a 6.719
_cell_length_b 6.719
_cell_length_c 13.364
_cell_angle_alpha 90.00
_cell_angle_beta 90.00
_cell_angle_gamma 90.00
_space_group_name_H-M_alt 'I -4 2 d'
_space_group_IT_number 122
_space_group_name_Hall 'I -4 2bw'
loop_
_atom_site_label
_atom_site_type_symbol
_atom_site_fract_x
_atom_site_fract_y
_atom_site_fract_z
Al1 Al 0.000 0.000 0.000
Bi1 Bi 0.210 0.250 0.125
Pb1 Pb 0.000 0.000 0.500



# MgZrAl, optimized geometry, DFT PBEsol
# E_form: -27 meV per atom
# Crystal system: trigonal
data_MgZrAl
_chemical_formula_sum 'Mg1 Zr1 Al1'
_cell_length_a 3.0348
_cell_length_b 3.0348
_cell_length_c 7.5482
_cell_angle_alpha 90.00
_cell_angle_beta 90.00
_cell_angle_gamma 120.00
_space_group_name_H-M_alt 'P 3 m 1'
_space_group_IT_number 156
_space_group_name_Hall 'P 3 -2"'
loop_
_atom_site_label
_atom_site_type_symbol
_atom_site_fract_x
_atom_site_fract_y
_atom_site_fract_z
Mg1 Mg 0.0000 0.0000 0.0000
Zr1 Zr 0.3333 0.6667 0.6432
Al1 Al 0.6667 0.3333 0.3215



# Li2MgSi, optimized geometry, DFT PBEsol
# ΔE_f (raw): -0.38 eV/f.u.
# Crystal system: monoclinic
data_Li2MgSi
_chemical_formula_sum 'Li4 Mg2 Si2'
_cell_length_a 8.883
_cell_length_b 2.951
_cell_length_c 5.163
_cell_angle_alpha 90.00
_cell_angle_beta 97.33
_cell_angle_gamma 90.00
_space_group_name_H-M_alt 'C 1 m 1'
_space_group_IT_number 8
_space_group_name_Hall 'C -2y'
loop_
_atom_site_label
_atom_site_type_symbol
_atom_site_fract_x
_atom_site_fract_y
_atom_site_fract_z
Li1 Li 0.000 0.000 0.000
Li2 Li 0.237 0.000 0.754
Mg1 Mg 0.477 0.000 0.463
Si1 Si 0.235 0.500 0.221



Number 1: D(E_F) 9.5 states/eV/cell, theoretical density 7.18 g cm⁻³. Number 2: D(E_F) 2.1 states/eV/cell, theoretical density 3.93 g cm⁻³. Number 3: D(E_F) 2.2 states/eV/cell, theoretical density 1.64 g cm⁻³.